(1)
The following is a DFT calculation (PBE-GGA) of a relaxed La2TeCl2 crystal.

Summary:
The value obtained for the electronic total energy is -0.384 Ry per atom. The value obtained for the volume is 33.52 Å³ per atom. As for the space group: C2/m. Its crystal system is monoclinic.

Geometry as CIF:
```
data_La2TeCl2
_space_group_name_H-M_alt 'P 1'
_space_group_IT_number 1
_space_group_name_Hall 'P 1'
_cell_length_a 4.373
_cell_length_b 4.376
_cell_length_c 10.113
_cell_angle_alpha 90.35
_cell_angle_beta 90.00
_cell_angle_gamma 119.97
loop_
_atom_site_label
_atom_site_type_symbol
_atom_site_fract_x
_atom_site_fract_y
_atom_site_fract_z
La1 La 0.831 0.662 0.313
La2 La 0.169 0.338 0.687
Cl1 Cl 0.837 0.674 0.843
Cl2 Cl 0.163 0.326 0.157
Te1 Te 0.500 0.000 0.500
```

(2)
The following is a DFT calculation (PBE-GGA) of a relaxed SnSBr crystal.

Summary:
The value obtained for the electronic total energy is -0.270 Ry per atom. The value obtained for the volume is 29.78 Å³ per atom. As for the space group: P3m1. Its crystal system is trigonal.

Geometry as CIF:
```
data_SnSBr
_space_group_name_H-M_alt 'P 1'
_space_group_IT_number 1
_space_group_name_Hall 'P 1'
_cell_length_a 6.748
_cell_length_b 3.910
_cell_length_c 3.910
_cell_angle_alpha 120.00
_cell_angle_beta 90.00
_cell_angle_gamma 90.00
loop_
_atom_site_label
_atom_site_type_symbol
_atom_site_fract_x
_atom_site_fract_y
_atom_site_fract_z
Sn1 Sn 0.971 0.000 0.000
S1 S 0.768 0.667 0.333
Br1 Br 0.261 0.333 0.667
```

(3)
The following is a DFT calculation (PBE-GGA) of a relaxed PuPaTcOs crystal.

Summary:
The value obtained for the volume is 19.90 Å³ per atom. The calculation puts the calculated formation energy at -98 meV per atom. As for the space group: F-43m. Its crystal system is cubic.

Geometry as CIF:
```
data_PuPaTcOs
_space_group_name_H-M_alt 'P 1'
_space_group_IT_number 1
_space_group_name_Hall 'P 1'
_cell_length_a 4.828
_cell_length_b 4.828
_cell_length_c 4.828
_cell_angle_alpha 60.00
_cell_angle_beta 60.00
_cell_angle_gamma 60.00
loop_
_atom_site_label
_atom_site_type_symbol
_atom_site_fract_x
_atom_site_fract_y
_atom_site_fract_z
Tc1 Tc 0.250 0.250 0.250
Os1 Os 0.750 0.750 0.750
Pa1 Pa 0.500 0.500 0.500
Pu1 Pu 0.000 0.000 0.000
```

(4)
The following is a DFT calculation (PBE-GGA) of a relaxed LaReH2N crystal.

Summary:
The value obtained for the electronic total energy is -0.351 Ry per atom. The value obtained for the volume is 15.92 Å³ per atom. As for the space group: P4/mmm. Its crystal system is tetragonal.

Geometry as CIF:
```
data_LaReH2N
_space_group_name_H-M_alt 'P 1'
_space_group_IT_number 1
_space_group_name_Hall 'P 1'
_cell_length_a 4.155
_cell_length_b 4.611
_cell_length_c 4.155
_cell_angle_alpha 90.00
_cell_angle_beta 90.00
_cell_angle_gamma 90.00
loop_
_atom_site_label
_atom_site_type_symbol
_atom_site_fract_x
_atom_site_fract_y
_atom_site_fract_z
N1 N 0.000 0.000 0.000
La1 La 0.000 0.500 0.000
H1 H 0.500 0.000 0.000
H2 H 0.000 0.000 0.500
Re1 Re 0.500 0.500 0.500
```

(5)
The following is a DFT calculation (PBE-GGA) of a relaxed Tb2PrPaP4 crystal.

Summary:
The value obtained for the volume is 23.44 Å³ per atom. The calculation puts the calculated formation energy at -1509 meV per atom. As for the space group: I-4m2. Its crystal system is tetragonal.

Geometry as CIF:
```
data_Tb2PrPaP4
_space_group_name_H-M_alt 'P 1'
_space_group_IT_number 1
_space_group_name_Hall 'P 1'
_cell_length_a 5.723
_cell_length_b 5.723
_cell_length_c 7.011
_cell_angle_alpha 114.09
_cell_angle_beta 114.09
_cell_angle_gamma 90.00
loop_
_atom_site_label
_atom_site_type_symbol
_atom_site_fract_x
_atom_site_fract_y
_atom_site_fract_z
P1 P 0.246 0.246 0.492
P2 P 0.992 0.492 0.985
P3 P 0.508 0.008 0.015
P4 P 0.754 0.754 0.508
Tb1 Tb 0.250 0.750 0.500
Tb2 Tb 0.000 0.000 0.000
Pa1 Pa 0.750 0.250 0.500
Pr1 Pr 0.500 0.500 0.000
```

(6)
The following is a DFT calculation (PBE-GGA) of a relaxed ScZnGa4 crystal.

Summary:
The value obtained for the volume is 17.50 Å³ per atom. The calculation puts the calculated formation energy at -283 meV per atom. The value obtained for the energy above the most stable polymorph in this dataset is 0.000 eV/atom. As for the space group: C2/c. Its crystal system is monoclinic.

Geometry as CIF:
```
data_ScZnGa4
_space_group_name_H-M_alt 'P 1'
_space_group_IT_number 1
_space_group_name_Hall 'P 1'
_cell_length_a 4.264
_cell_length_b 5.556
_cell_length_c 10.283
_cell_angle_alpha 70.66
_cell_angle_beta 90.00
_cell_angle_gamma 112.56
loop_
_atom_site_label
_atom_site_type_symbol
_atom_site_fract_x
_atom_site_fract_y
_atom_site_fract_z
Ga1 Ga 0.039 0.580 0.796
Ga2 Ga 0.541 0.580 0.296
Ga3 Ga 0.295 0.090 0.541
Ga4 Ga 0.961 0.420 0.204
Ga5 Ga 0.705 0.910 0.459
Ga6 Ga 0.459 0.420 0.704
Ga7 Ga 0.205 0.910 0.959
Ga8 Ga 0.795 0.090 0.041
Zn1 Zn 0.000 0.500 0.500
Zn2 Zn 0.500 0.500 0.000
Sc1 Sc 0.251 0.000 0.250
Sc2 Sc 0.749 0.000 0.750
```

(7)
The following is a DFT calculation (PBE-GGA) of a relaxed RbNbAsH2 crystal.

Summary:
The value obtained for the electronic total energy is -0.246 Ry per atom. The value obtained for the volume is 24.81 Å³ per atom. As for the space group: P4/mmm. Its crystal system is tetragonal.

Geometry as CIF:
```
data_RbNbAsH2
_space_group_name_H-M_alt 'P 1'
_space_group_IT_number 1
_space_group_name_Hall 'P 1'
_cell_length_a 4.242
_cell_length_b 6.892
_cell_length_c 4.242
_cell_angle_alpha 90.00
_cell_angle_beta 90.00
_cell_angle_gamma 90.00
loop_
_atom_site_label
_atom_site_type_symbol
_atom_site_fract_x
_atom_site_fract_y
_atom_site_fract_z
As1 As 0.500 0.500 0.500
H1 H 0.500 0.000 0.000
H2 H 0.000 0.000 0.500
Nb1 Nb 0.000 0.000 0.000
Rb1 Rb 0.000 0.500 0.000
```

(8)
The following is a DFT calculation (PBE-GGA) of a relaxed FeRu2 crystal.

Summary:
The value obtained for the volume is 13.30 Å³ per atom. The calculation puts the calculated formation energy at 151 meV per atom. As for the space group: P-3m1. Its crystal system is trigonal.

Geometry as CIF:
```
data_FeRu2
_space_group_name_H-M_alt 'P 1'
_space_group_IT_number 1
_space_group_name_Hall 'P 1'
_cell_length_a 2.679
_cell_length_b 2.679
_cell_length_c 6.419
_cell_angle_alpha 90.00
_cell_angle_beta 90.00
_cell_angle_gamma 120.00
loop_
_atom_site_label
_atom_site_type_symbol
_atom_site_fract_x
_atom_site_fract_y
_atom_site_fract_z
Fe1 Fe 0.000 0.000 0.000
Ru1 Ru 0.333 0.667 0.329
Ru2 Ru 0.667 0.333 0.671
```

Number 1: magnetic moment 0.000 μB/f.u.. Number 2: magnetic moment 0.000 μB/f.u.. Number 3: magnetic moment 4.596 μB/f.u.. Number 4: magnetic moment 3.261 μB/f.u.. Number 5: magnetic moment 0.000 μB/f.u.. Number 6: magnetic moment 0.000 μB/f.u.. Number 7: magnetic moment 1.027 μB/f.u.. Number 8: magnetic moment 2.148 μB/f.u..